A plane-wave DFT calculation with PBE-GGA was carried out for a geometry-optimized Cs3Na2HoCl8 structure.

Cell lengths 7.623, 7.623, 10.211 Å; angles 90.00, 90.00, 120.00 degrees
Atoms (fractional coordinates):
Cs (0.000, 0.000, 0.000)
Cs (0.333, 0.667, 0.632)
Cs (0.667, 0.333, 0.368)
Na (0.333, 0.667, 0.198)
Na (0.667, 0.333, 0.802)
Ho (0.000, 0.000, 0.500)
Cl (0.160, 0.321, 0.347)
Cl (0.160, 0.840, 0.347)
Cl (0.321, 0.160, 0.653)
Cl (0.333, 0.667, 0.949)
Cl (0.667, 0.333, 0.051)
Cl (0.679, 0.840, 0.347)
Cl (0.840, 0.160, 0.653)
Cl (0.840, 0.679, 0.653)

Summary:
* calculated volume: 513.80 Å³ per cell
* spin magnetization: 0.0 μB per cell
* uncorrected energy: -52.49 eV per cell

***

A plane-wave DFT calculation with PBE-GGA was carried out for a geometry-optimized Cs8Na4YHo3Cl24 structure.

Cell lengths 25.543, 25.543, 25.543 Å; angles 17.34, 17.34, 17.34 degrees
Atoms (fractional coordinates):
Cs (0.063, 0.063, 0.063)
Cs (0.188, 0.188, 0.188)
Cs (0.312, 0.312, 0.312)
Cs (0.437, 0.437, 0.437)
Cs (0.563, 0.563, 0.563)
Cs (0.688, 0.688, 0.688)
Cs (0.812, 0.812, 0.812)
Cs (0.937, 0.937, 0.937)
Na (0.125, 0.125, 0.125)
Na (0.375, 0.375, 0.375)
Na (0.625, 0.625, 0.625)
Na (0.875, 0.875, 0.875)
Y (0.000, 0.000, 0.000)
Ho (0.250, 0.250, 0.250)
Ho (0.500, 0.500, 0.500)
Ho (0.750, 0.750, 0.750)
Cl (0.052, 0.569, 0.569)
Cl (0.069, 0.069, 0.552)
Cl (0.069, 0.552, 0.069)
Cl (0.182, 0.182, 0.696)
Cl (0.182, 0.696, 0.182)
Cl (0.198, 0.681, 0.681)
Cl (0.304, 0.818, 0.818)
Cl (0.319, 0.319, 0.802)
Cl (0.319, 0.802, 0.319)
Cl (0.431, 0.431, 0.948)
Cl (0.431, 0.948, 0.431)
Cl (0.448, 0.931, 0.931)
Cl (0.552, 0.069, 0.069)
Cl (0.569, 0.052, 0.569)
Cl (0.569, 0.569, 0.052)
Cl (0.681, 0.198, 0.681)
Cl (0.681, 0.681, 0.198)
Cl (0.696, 0.182, 0.182)
Cl (0.802, 0.319, 0.319)
Cl (0.818, 0.304, 0.818)
Cl (0.818, 0.818, 0.304)
Cl (0.931, 0.448, 0.931)
Cl (0.931, 0.931, 0.448)
Cl (0.948, 0.431, 0.431)

Summary:
* calculated volume: 1291.48 Å³ per cell
* spin magnetization: 0.0 μB per cell
* uncorrected energy: -162.39 eV per cell

***

A plane-wave DFT calculation with PBE-GGA was carried out for a geometry-optimized CsHoPb2Cl8 structure.

Cell lengths 6.624, 6.899, 9.273 Å; angles 86.50, 86.43, 88.07 degrees
Atoms (fractional coordinates):
Cs (0.000, 0.000, 0.000)
Ho (0.000, 0.000, 0.500)
Pb (0.491, 0.495, 0.251)
Pb (0.509, 0.505, 0.749)
Cl (0.232, 0.839, 0.697)
Cl (0.237, 0.310, 0.485)
Cl (0.240, 0.844, 0.297)
Cl (0.271, 0.396, 0.029)
Cl (0.729, 0.604, 0.971)
Cl (0.760, 0.156, 0.703)
Cl (0.763, 0.690, 0.515)
Cl (0.768, 0.161, 0.303)

Summary:
* calculated volume: 422.00 Å³ per cell
* spin magnetization: 0.0 μB per cell
* uncorrected energy: -47.47 eV per cell

***

A plane-wave DFT calculation with PBE-GGA was carried out for a geometry-optimized CsHo2PbCl8 structure.

Cell lengths 11.575, 11.575, 11.575 Å; angles 35.43, 35.43, 35.43 degrees
Atoms (fractional coordinates):
Cs (0.000, 0.000, 0.000)
Ho (0.252, 0.252, 0.252)
Ho (0.748, 0.748, 0.748)
Pb (0.500, 0.500, 0.500)
Cl (0.105, 0.780, 0.416)
Cl (0.220, 0.584, 0.895)
Cl (0.328, 0.328, 0.328)
Cl (0.416, 0.105, 0.780)
Cl (0.584, 0.895, 0.220)
Cl (0.672, 0.672, 0.672)
Cl (0.780, 0.416, 0.105)
Cl (0.895, 0.220, 0.584)

Summary:
* calculated volume: 465.61 Å³ per cell
* spin magnetization: 1.0 μB per cell
* uncorrected energy: -49.66 eV per cell

***

A plane-wave DFT calculation with PBE-GGA was carried out for a geometry-optimized CsHoPtCl6 structure.

Cell lengths 6.724, 6.724, 7.986 Å; angles 90.00, 90.00, 120.00 degrees
Atoms (fractional coordinates):
Cs (0.000, 0.000, 0.000)
Ho (0.667, 0.333, 0.500)
Pt (0.333, 0.667, 0.500)
Cl (0.009, 0.373, 0.688)
Cl (0.009, 0.636, 0.312)
Cl (0.364, 0.373, 0.312)
Cl (0.364, 0.991, 0.688)
Cl (0.627, 0.636, 0.688)
Cl (0.627, 0.991, 0.312)

Summary:
* calculated volume: 312.70 Å³ per cell
* spin magnetization: 2.0 μB per cell
* uncorrected energy: -35.92 eV per cell

***

A plane-wave DFT calculation with PBE-GGA was carried out for a geometry-optimized CsHoRhCl6 structure.

Cell lengths 6.537, 6.537, 8.046 Å; angles 91.61, 91.61, 117.82 degrees
Atoms (fractional coordinates):
Cs (0.000, 0.000, 0.000)
Ho (0.663, 0.337, 0.500)
Rh (0.318, 0.682, 0.500)
Cl (0.332, 0.388, 0.327)
Cl (0.341, 0.001, 0.670)
Cl (0.610, 0.012, 0.287)
Cl (0.612, 0.668, 0.673)
Cl (0.988, 0.390, 0.713)
Cl (0.999, 0.659, 0.330)

Summary:
* calculated volume: 303.60 Å³ per cell
* spin magnetization: 1.0 μB per cell
* uncorrected energy: -38.11 eV per cell

***

A plane-wave DFT calculation with PBE-GGA was carried out for a geometry-optimized Cs2HoSnCl6 structure.

Cell lengths 7.492, 10.866, 9.064 Å; angles 90.00, 90.00, 90.00 degrees
Atoms (fractional coordinates):
Cs (0.250, 0.002, 0.210)
Cs (0.250, 0.498, 0.210)
Cs (0.750, 0.502, 0.790)
Cs (0.750, 0.998, 0.790)
Ho (0.250, 0.750, 0.771)
Ho (0.750, 0.250, 0.229)
Sn (0.250, 0.250, 0.722)
Sn (0.750, 0.750, 0.278)
Cl (0.005, 0.250, 0.424)
Cl (0.005, 0.750, 0.982)
Cl (0.250, 0.506, 0.785)
Cl (0.250, 0.994, 0.785)
Cl (0.495, 0.250, 0.424)
Cl (0.495, 0.750, 0.982)
Cl (0.505, 0.250, 0.018)
Cl (0.505, 0.750, 0.576)
Cl (0.750, 0.006, 0.215)
Cl (0.750, 0.494, 0.215)
Cl (0.995, 0.250, 0.018)
Cl (0.995, 0.750, 0.576)

Summary:
* calculated volume: 737.89 Å³ per cell
* spin magnetization: 2.0 μB per cell
* uncorrected energy: -77.74 eV per cell

***

A plane-wave DFT calculation with PBE-GGA was carried out for a geometry-optimized CsSr2HoCl8 structure.

Cell lengths 6.649, 6.787, 9.294 Å; angles 89.98, 89.95, 89.46 degrees
Atoms (fractional coordinates):
Cs (0.000, 0.000, 0.000)
Sr (0.500, 0.500, 0.252)
Sr (0.500, 0.500, 0.748)
Ho (0.000, 0.000, 0.500)
Cl (0.229, 0.835, 0.697)
Cl (0.229, 0.836, 0.302)
Cl (0.256, 0.311, 0.500)
Cl (0.270, 0.400, 0.000)
Cl (0.730, 0.600, 0.000)
Cl (0.744, 0.689, 0.500)
Cl (0.771, 0.164, 0.698)
Cl (0.771, 0.165, 0.303)

Summary:
* calculated volume: 419.42 Å³ per cell
* spin magnetization: 0.0 μB per cell
* uncorrected energy: -51.20 eV per cell

***

A plane-wave DFT calculation with PBE-GGA was carried out for a geometry-optimized Cs6Ho21Te34Cl structure.

Cell lengths 14.433, 14.433, 14.451 Å; angles 114.30, 114.30, 97.65 degrees
Atoms (fractional coordinates):
Cs (0.042, 0.805, 0.777)
Cs (0.195, 0.958, 0.223)
Cs (0.219, 0.219, 0.074)
Cs (0.781, 0.781, 0.926)
Cs (0.805, 0.042, 0.777)
Cs (0.958, 0.195, 0.223)
Ho (0.046, 0.457, 0.750)
Ho (0.098, 0.902, 0.500)
Ho (0.169, 0.573, 0.122)
Ho (0.245, 0.245, 0.751)
Ho (0.267, 0.471, 0.611)
Ho (0.301, 0.699, 0.500)
Ho (0.398, 0.602, 0.000)
Ho (0.427, 0.831, 0.878)
Ho (0.457, 0.046, 0.750)
Ho (0.471, 0.267, 0.611)
Ho (0.500, 0.500, 0.500)
Ho (0.529, 0.733, 0.389)
Ho (0.543, 0.954, 0.250)
Ho (0.573, 0.169, 0.122)
Ho (0.602, 0.398, 0.000)
Ho (0.699, 0.301, 0.500)
Ho (0.733, 0.529, 0.389)
Ho (0.755, 0.755, 0.249)
Ho (0.831, 0.427, 0.878)
Ho (0.902, 0.098, 0.500)
Ho (0.954, 0.543, 0.250)
Te (0.013, 0.617, 0.942)
Te (0.060, 0.060, 0.689)
Te (0.087, 0.288, 0.567)
Te (0.113, 0.514, 0.437)
Te (0.135, 0.735, 0.312)
Te (0.212, 0.415, 0.938)
Te (0.241, 0.637, 0.811)
Te (0.265, 0.865, 0.688)
Te (0.288, 0.087, 0.567)
Te (0.311, 0.311, 0.432)
Te (0.341, 0.540, 0.312)
Te (0.363, 0.759, 0.189)
Te (0.383, 0.987, 0.058)
Te (0.415, 0.212, 0.938)
Te (0.433, 0.433, 0.809)
Te (0.460, 0.659, 0.688)
Te (0.486, 0.887, 0.563)
Te (0.514, 0.113, 0.437)
Te (0.540, 0.341, 0.312)
Te (0.567, 0.567, 0.191)
Te (0.585, 0.788, 0.062)
Te (0.617, 0.013, 0.942)
Te (0.637, 0.241, 0.811)
Te (0.659, 0.460, 0.688)
Te (0.689, 0.689, 0.568)
Te (0.712, 0.913, 0.433)
Te (0.735, 0.135, 0.312)
Te (0.759, 0.363, 0.189)
Te (0.788, 0.585, 0.062)
Te (0.865, 0.265, 0.688)
Te (0.887, 0.486, 0.563)
Te (0.913, 0.712, 0.433)
Te (0.940, 0.940, 0.311)
Te (0.987, 0.383, 0.058)
Cl (0.000, 0.000, 0.000)

Summary:
* calculated volume: 2329.04 Å³ per cell
* spin magnetization: 0.0 μB per cell
* uncorrected energy: -298.96 eV per cell

***

A plane-wave DFT calculation with PBE-GGA was carried out for a geometry-optimized CsHo2VCl8 structure.

Cell lengths 9.618, 9.618, 9.618 Å; angles 42.39, 42.39, 42.39 degrees
Atoms (fractional coordinates):
Cs (0.000, 0.000, 0.000)
Ho (0.197, 0.197, 0.197)
Ho (0.803, 0.803, 0.803)
V (0.500, 0.500, 0.500)
Cl (0.157, 0.816, 0.389)
Cl (0.184, 0.611, 0.843)
Cl (0.294, 0.294, 0.294)
Cl (0.389, 0.157, 0.816)
Cl (0.611, 0.843, 0.184)
Cl (0.706, 0.706, 0.706)
Cl (0.816, 0.389, 0.157)
Cl (0.843, 0.184, 0.611)

Summary:
* calculated volume: 366.19 Å³ per cell
* spin magnetization: 4.1 μB per cell
* uncorrected energy: -55.67 eV per cell

***

A plane-wave DFT calculation with PBE-GGA was carried out for a geometry-optimized CsHoVCl6 structure.

Cell lengths 6.667, 6.667, 7.943 Å; angles 90.00, 90.00, 120.00 degrees
Atoms (fractional coordinates):
Cs (0.000, 0.000, 0.000)
Ho (0.667, 0.333, 0.500)
V (0.333, 0.667, 0.500)
Cl (0.016, 0.378, 0.685)
Cl (0.016, 0.638, 0.315)
Cl (0.362, 0.378, 0.315)
Cl (0.362, 0.984, 0.685)
Cl (0.622, 0.638, 0.685)
Cl (0.622, 0.984, 0.315)

Summary:
* calculated volume: 305.78 Å³ per cell
* spin magnetization: 3.0 μB per cell
* uncorrected energy: -42.50 eV per cell

***

A plane-wave DFT calculation with PBE-GGA was carried out for a geometry-optimized CsHoZn2Cl8 structure.

Cell lengths 10.919, 10.919, 10.919 Å; angles 34.70, 34.70, 34.70 degrees
Atoms (fractional coordinates):
Cs (0.000, 0.000, 0.000)
Ho (0.500, 0.500, 0.500)
Zn (0.243, 0.243, 0.243)
Zn (0.757, 0.757, 0.757)
Cl (0.120, 0.779, 0.449)
Cl (0.221, 0.551, 0.880)
Cl (0.315, 0.315, 0.315)
Cl (0.449, 0.120, 0.779)
Cl (0.551, 0.880, 0.221)
Cl (0.685, 0.685, 0.685)
Cl (0.779, 0.449, 0.120)
Cl (0.880, 0.221, 0.551)

Summary:
* calculated volume: 376.50 Å³ per cell
* spin magnetization: 0.0 μB per cell
* uncorrected energy: -42.81 eV per cell

***

A plane-wave DFT calculation with PBE-GGA was carried out for a geometry-optimized CsICl structure.

Cell lengths 5.847, 6.896, 8.138 Å; angles 91.84, 107.97, 95.71 degrees
Atoms (fractional coordinates):
Cs (0.216, 0.247, 0.351)
Cs (0.784, 0.753, 0.649)
I (0.285, 0.412, 0.876)
I (0.715, 0.588, 0.124)
Cl (0.177, 0.753, 0.401)
Cl (0.823, 0.247, 0.599)

Summary:
* calculated volume: 309.87 Å³ per cell
* spin magnetization: 0.0 μB per cell
* relative energy among the computed polymorphs: 3.3 kJ per mole of atoms

***

A plane-wave DFT calculation with PBE-GGA was carried out for a geometry-optimized Cs6I4Cl structure.

Cell lengths 10.944, 10.944, 10.944 Å; angles 90.47, 90.47, 90.47 degrees
Atoms (fractional coordinates):
Cs (0.057, 0.921, 0.697)
Cs (0.079, 0.303, 0.943)
Cs (0.197, 0.421, 0.557)
Cs (0.303, 0.943, 0.079)
Cs (0.421, 0.557, 0.197)
Cs (0.443, 0.803, 0.579)
Cs (0.557, 0.197, 0.421)
Cs (0.579, 0.443, 0.803)
Cs (0.697, 0.057, 0.921)
Cs (0.803, 0.579, 0.443)
Cs (0.921, 0.697, 0.057)
Cs (0.943, 0.079, 0.303)
I (0.133, 0.750, 0.367)
I (0.250, 0.250, 0.250)
I (0.250, 0.633, 0.867)
I (0.367, 0.133, 0.750)
I (0.633, 0.867, 0.250)
I (0.750, 0.367, 0.133)
I (0.750, 0.750, 0.750)
I (0.867, 0.250, 0.633)
Cl (0.000, 0.000, 0.000)
Cl (0.500, 0.500, 0.500)

Summary:
* calculated volume: 1310.65 Å³ per cell
* spin magnetization: 0.0 μB per cell
* uncorrected energy: -57.50 eV per cell

***

A plane-wave DFT calculation with PBE-GGA was carried out for a geometry-optimized Cs4I2Cl structure.

Cell lengths 10.876, 10.876, 10.876 Å; angles 143.80, 143.80, 52.13 degrees
Atoms (fractional coordinates):
Cs (0.000, 0.500, 0.500)
Cs (0.190, 0.190, 0.000)
Cs (0.500, 0.000, 0.500)
Cs (0.810, 0.810, 0.000)
I (0.383, 0.383, 0.000)
I (0.617, 0.617, 0.000)
Cl (0.000, 0.000, 0.000)

Summary:
* calculated volume: 446.21 Å³ per cell
* spin magnetization: 0.0 μB per cell
* relative energy among the computed polymorphs: 6.8 kJ per mole of atoms

***

A plane-wave DFT calculation with PBE-GGA was carried out for a geometry-optimized Cs5I2Cl3 structure.

Cell lengths 9.685, 9.685, 13.378 Å; angles 124.83, 124.83, 30.59 degrees
Atoms (fractional coordinates):
Cs (0.000, 0.000, 0.000)
Cs (0.086, 0.086, 0.411)
Cs (0.301, 0.301, 0.189)
Cs (0.699, 0.699, 0.811)
Cs (0.914, 0.914, 0.589)
I (0.328, 0.328, 0.730)
I (0.672, 0.672, 0.270)
Cl (0.115, 0.115, 0.877)
Cl (0.500, 0.500, 0.500)
Cl (0.885, 0.885, 0.123)

Summary:
* calculated volume: 514.52 Å³ per cell
* spin magnetization: 0.2 μB per cell
* uncorrected energy: -30.73 eV per cell

***

A plane-wave DFT calculation with PBE-GGA was carried out for a geometry-optimized Cs2I2Cl5 structure.

Cell lengths 10.053, 10.053, 8.744 Å; angles 114.84, 114.84, 27.62 degrees
Atoms (fractional coordinates):
Cs (0.086, 0.086, 0.344)
Cs (0.914, 0.914, 0.656)
I (0.340, 0.340, 0.012)
I (0.660, 0.660, 0.988)
Cl (0.281, 0.281, 0.690)
Cl (0.412, 0.412, 0.335)
Cl (0.500, 0.500, 0.000)
Cl (0.588, 0.588, 0.665)
Cl (0.719, 0.719, 0.310)

Summary:
* calculated volume: 369.29 Å³ per cell
* spin magnetization: 0.6 μB per cell
* uncorrected energy: -22.84 eV per cell

***

A plane-wave DFT calculation with PBE-GGA was carried out for a geometry-optimized CsICl structure.

Cell lengths 5.861, 5.861, 12.273 Å; angles 104.24, 104.24, 60.70 degrees
Atoms (fractional coordinates):
Cs (0.227, 0.227, 0.173)
Cs (0.773, 0.773, 0.827)
I (0.039, 0.039, 0.619)
I (0.961, 0.961, 0.381)
Cl (0.125, 0.125, 0.877)
Cl (0.875, 0.875, 0.123)

Summary:
* calculated volume: 352.35 Å³ per cell
* spin magnetization: 0.0 μB per cell
* relative energy among the computed polymorphs: 2.4 kJ per mole of atoms